# 1
Here is a relaxed structure of NdZn2Ru from Alexandria via LeMat-Bulk. Energies are from GGA-PBE.

Formation energy from the elements ... -0.10 eV/atom

Lattice parameters (Å, degrees): 3.3795 3.3795 6.4685 90.00 90.00 90.00
Last column: nearest neighbours and their distance in Å.
Sites, in units of the cell vectors:
Zn 0.0000 0.0000 0.8102  1 Zn 2.46, 4 Ru 2.69
Zn 0.0000 0.0000 0.1898  1 Zn 2.46, 4 Ru 2.69
Nd 0.5000 0.5000 0.5000  8 Zn 3.12, 2 Ru 3.23, 4 Nd 3.38
Ru 0.5000 0.5000 0.0000  8 Zn 2.69

***

# 2
Here is a relaxed structure of Na2BN2 from Alexandria via LeMat-Bulk. Energies are from GGA-PBE.

Energy relative to the elements, uncorrected ... -0.277 eV per atom

Lattice parameters (Å, degrees): 4.7712 5.7926 6.0298 65.04 66.69 65.68
Last column: nearest neighbours and their distance in Å.
Sites, in units of the cell vectors:
N 0.5208 0.7974 0.1610  2 B 1.52-1.54
Na 0.6710 0.2790 0.3790  5 N 2.44-2.69
Na 0.9777 0.2992 0.7455  4 N 2.42-2.54
B 0.6123 0.9022 0.8732  3 N 1.40-1.54
N 0.2300 0.2274 0.3127  1 B 1.40
Na 0.0223 0.7008 0.2545  4 N 2.42-2.54
B 0.3877 0.0978 0.1268  3 N 1.40-1.54
N 0.4792 0.2026 0.8390  2 B 1.52-1.54
N 0.7700 0.7726 0.6873  1 B 1.40
Na 0.3290 0.7210 0.6210  5 N 2.44-2.69